Fe2RuAuN | PBE | optimized geometry

```
Fe2RuAuN
1.0
-2.299 -3.976 1.660
2.077 0.089 3.088
-3.338 2.833 2.163
Ru Au Fe N
1 1 2 1
direct
0.500 0.500 0.500 Ru
0.000 0.000 0.000 Au
0.000 0.000 0.500 Fe
0.500 0.000 0.000 Fe
0.000 0.500 0.000 N
```

Calculated values
E   -5.635 eV per atom
E_form (uncorrected)   1926 meV per atom
Space-group type   P4/mmm (123)
ΔE to the lowest computed polymorph   1853 meV per atom
Total moment   8.99 μB/f.u.

=====

Pm3TlTe2 | PBE | optimized geometry

```
Pm3TlTe2
1.0
7.700 0.210 0.361
-1.514 7.625 -0.255
-1.514 -4.002 6.496
Pm Tl Te
6 2 4
direct
0.002 0.171 0.336 Pm
0.502 0.336 0.171 Pm
0.000 0.500 0.000 Pm
0.998 0.829 0.664 Pm
0.500 0.000 0.500 Pm
0.498 0.664 0.829 Pm
0.250 0.585 0.415 Tl
0.750 0.415 0.585 Tl
0.250 0.917 0.083 Te
0.250 0.247 0.753 Te
0.750 0.083 0.917 Te
0.750 0.753 0.247 Te
```

Calculated values
E   -4.912 eV per atom
E_form (uncorrected)   -1095 meV per atom
Space-group type   C2/c (15)
ΔE to the lowest computed polymorph   0 meV per atom
Total moment   0.00 μB/f.u.

=====

HfRh2Pb2 | PBE | optimized geometry

```
HfRh2Pb2
1.0
-4.069 -4.045 3.789
3.405 -5.534 -2.250
2.823 0.352 3.407
Pb Rh Hf
4 4 2
direct
0.172 0.672 0.500 Pb
0.672 0.828 0.500 Pb
0.828 0.328 0.500 Pb
0.328 0.172 0.500 Pb
0.361 0.861 0.000 Rh
0.861 0.639 0.000 Rh
0.639 0.139 0.000 Rh
0.139 0.361 0.000 Rh
0.000 0.000 0.000 Hf
0.500 0.500 0.000 Hf
```

Calculated values
E   -6.539 eV per atom
Space-group type   P4/mbm (127)
Total moment   0.00 μB/f.u.

=====

Ba2NaSiSe | PBE | optimized geometry

```
Ba2NaSiSe
1.0
6.171 0.000 0.000
0.000 5.299 0.000
0.000 0.000 6.171
Na Si Ba Se
1 1 2 1
direct
0.000 0.500 0.000 Na
0.000 0.000 0.000 Si
0.000 0.000 0.500 Ba
0.500 0.000 0.000 Ba
0.500 0.500 0.500 Se
```

Calculated values
E   -3.267 eV per atom
E_form (uncorrected)   -452 meV per atom
Space-group type   P4/mmm (123)
Total moment   0.00 μB/f.u.

=====

InPW2 | PBE | optimized geometry

```
InPW2
1.0
4.441 0.000 0.000
0.000 3.916 0.000
0.000 0.000 3.916
In P W
1 1 2
direct
0.500 0.500 0.000 In
0.500 0.000 0.500 P
0.000 0.000 0.000 W
0.000 0.500 0.500 W
```

Calculated values
E   -7.608 eV per atom
Space-group type   P4/mmm (123)
ΔE to the lowest computed polymorph   817 meV per atom
Total moment   0.00 μB/f.u.

=====

ScRh2W2 | PBE | optimized geometry

```
ScRh2W2
1.0
-1.872 1.872 6.330
1.872 -1.872 6.330
1.872 1.872 -6.330
Sc Rh W
1 2 2
direct
0.000 0.000 0.000 Sc
0.600 0.600 0.000 Rh
0.400 0.400 0.000 Rh
0.250 0.750 0.500 W
0.750 0.250 0.500 W
```

Calculated values
E   -9.360 eV per atom
Space-group type   I4/mmm (139)
Total moment   0.00 μB/f.u.

=====

total moment of number 3 (HfRh2Pb2)? 0.00 μB/f.u.